1.
PBE-GGA TlTe2Rh2, relaxed; energy relative to the lowest polymorph listed for this composition = 0.1828 eV per atom; E_form (uncorrected) = -0.05 eV/atom
1.0
-0.644 2.362 4.257
-4.534 -1.855 0.343
-0.823 -3.616 4.714
Tl Te Rh
1 2 2
Direct
0.000 0.000 0.000
0.750 0.250 0.500
0.250 0.750 0.500
0.363 0.363 0.274
0.637 0.637 0.726

2.
PBE-GGA Co2TcBr, relaxed; energy relative to the lowest polymorph listed for this composition = 0.4235 eV per atom; E_form (uncorrected) = 0.94 eV/atom
1.0
3.081 0.000 0.000
0.000 4.351 0.000
0.000 0.000 4.351
Br Co Tc
1 2 1
Direct
0.500 0.000 0.500
0.000 0.000 0.000
0.000 0.500 0.500
0.500 0.500 0.000

3.
PBE-GGA Hf6FeAu3, relaxed; energy relative to the elements = -0.18 eV/atom
1.0
-2.112 4.936 -0.513
-7.206 -2.879 1.962
1.763 1.812 9.132
Hf Fe Au
12 2 6
Direct
0.604 0.162 0.947
0.577 0.193 0.554
0.642 0.441 0.269
0.358 0.559 0.731
0.423 0.807 0.446
0.396 0.838 0.053
0.104 0.338 0.447
0.077 0.307 0.054
0.142 0.059 0.769
0.858 0.941 0.231
0.923 0.693 0.946
0.896 0.662 0.553
0.500 0.500 0.500
0.000 0.000 0.000
0.614 0.885 0.744
0.500 0.500 0.000
0.386 0.115 0.256
0.114 0.615 0.244
0.000 0.000 0.500
0.886 0.385 0.756

4.
PBE-GGA Tl3Ag2, relaxed; energy relative to the elements = 0.11 eV/atom; energy relative to the lowest polymorph listed for this composition = 0.0000 eV per atom
1.0
-10.775 -2.298 8.458
-10.081 3.630 6.724
-2.825 -5.470 -0.857
Tl Ag
6 4
Direct
0.272 0.522 0.466
0.740 0.466 0.522
0.728 0.978 0.510
0.784 0.510 0.978
0.998 0.002 0.002
0.248 0.252 0.252
0.653 0.269 0.741
0.336 0.741 0.269
0.981 0.597 0.914
0.509 0.914 0.597

5.
PBE-GGA DyPuAg4, relaxed; energy relative to the elements = -0.04 eV/atom; energy relative to the lowest polymorph listed for this composition = 0.0539 eV per atom
1.0
5.705 0.000 0.000
2.852 4.940 0.000
2.852 1.647 4.658
Dy Ag Pu
1 4 1
Direct
0.000 0.000 0.000
0.625 0.625 0.125
0.625 0.125 0.625
0.625 0.625 0.625
0.125 0.625 0.625
0.250 0.250 0.250

6.
PBE-GGA TlRuSe, relaxed; energy relative to the lowest polymorph listed for this composition = 0.0000 eV per atom; E_form (uncorrected) = -0.10 eV/atom
1.0
-1.014 -3.072 2.609
3.772 -1.672 -0.504
2.730 4.309 6.135
Ru Tl Se
2 2 2
Direct
0.000 0.000 0.500
0.500 0.500 0.500
0.000 0.500 0.855
0.500 0.000 0.145
0.000 0.500 0.334
0.500 0.000 0.666

7.
PBE-GGA Li2YCd3, relaxed; energy relative to the elements = -0.25 eV/atom; energy relative to the lowest polymorph listed for this composition = 0.0279 eV per atom
1.0
4.742 0.000 0.000
-2.371 4.107 0.000
0.000 0.000 13.322
Li Y Cd
4 2 6
Direct
0.667 0.333 0.421
0.333 0.667 0.579
0.333 0.667 0.921
0.667 0.333 0.079
0.000 0.000 0.250
0.000 0.000 0.750
0.000 0.000 0.500
0.000 0.000 0.000
0.667 0.333 0.630
0.333 0.667 0.130
0.667 0.333 0.870
0.333 0.667 0.370

8.
PBE-GGA TaBePt2Pb, relaxed; energy relative to the elements = 0.40 eV/atom
1.0
4.235 0.000 0.000
0.000 4.899 0.000
0.000 0.000 4.235
Pb Be Pt Ta
1 1 2 1
Direct
0.000 0.500 0.000
0.000 0.000 0.000
0.000 0.000 0.500
0.500 0.000 0.000
0.500 0.500 0.500